# 1
Material: Cd6Pd8Pt
Method: DFT, GGA-PBE
State: optimized geometry

Lattice parameters (Å, degrees): 7.6810 7.6810 16.1468 90.00 90.00 120.00
Space group R-3 (No. 148, hexagonal axes)
Symmetry-distinct sites (fractional):
Cd 0.0202 0.7608 0.3947
Pd 0.0000 0.0000 0.2560
Pd 0.0212 0.7528 0.8874
Pt 0.0000 0.0000 0.0000

## Properties
DFT formation energy: -16.1 kJ/mol of atoms

---

# 2
Material: LaCoS2
Method: DFT, GGA-PBE
State: optimized geometry

Lattice parameters (Å, degrees): 5.534 5.534 12.409 90.00 90.00 90.00
Space group I-42d (No. 122)
Symmetry-distinct sites (fractional):
La 0.000 0.000 0.000
Co 0.000 0.000 0.500
S 0.170 0.250 0.625

## Properties
Relative energy among the computed polymorphs: 0 meV/atom
Uncorrected formation energy: -1032 meV per atom

---

# 3
Material: SrMnGa3
Method: DFT, GGA-PBE
State: optimized geometry

Lattice parameters (Å, degrees): 4.697 4.697 4.697 90.00 90.00 90.00
Space group Pm-3m (No. 221)
Symmetry-distinct sites (fractional):
Sr 0.000 0.000 0.000
Mn 0.500 0.500 0.500
Ga 0.000 0.500 0.500

## Properties
DFT formation energy: -31.5 kJ/mol of atoms